ScPb2Br, relaxed, DFT PBEsol; total moment = 0.00 μB/f.u.; VASP energy = -17.4 eV/f.u.
1.0
7.478 0.000 0.000
0.000 7.478 0.000
0.000 0.000 7.478
Sc Pb Br
4 8 4
Direct
0.000 0.000 0.000 Sc
0.000 0.500 0.500 Sc
0.500 0.000 0.500 Sc
0.500 0.500 0.000 Sc
0.000 0.000 0.500 Pb
0.000 0.500 0.000 Pb
0.250 0.250 0.750 Pb
0.250 0.750 0.250 Pb
0.500 0.000 0.000 Pb
0.500 0.500 0.500 Pb
0.750 0.250 0.250 Pb
0.750 0.750 0.750 Pb
0.250 0.250 0.250 Br
0.250 0.750 0.750 Br
0.750 0.250 0.750 Br
0.750 0.750 0.250 Br